LaSnH6Rh3: relaxed, PBE.

Summary:
crystal system = trigonal
volume = 11.020 Å³ per atom
E_tot = -4.967 eV/atom
total moment = 0.000 μB/f.u.

Cell lengths 7.4257, 7.4257, 7.6156 Å; angles 90.00, 90.00, 120.00 degrees
Space group R3m (No. 160, hexagonal axes)
Symmetry-distinct sites (fractional):
La 0.0000 0.0000 0.0000 x3
Sn 0.0000 0.0000 0.5890 x3
H 0.0162 0.3436 0.8283 x18
Rh 0.0591 0.5295 0.9959 x9